First-principles (GGA+U) data for a geometry-optimized VIn2O structure, as listed in Alexandria via LeMat-Bulk.

Unit cell a=5.884 b=5.884 c=5.884 alpha=103.73 beta=103.73 gamma=121.68
Fractional coordinates of all 8 atoms:
V 0.000 0.000 0.000
V 0.750 0.250 0.500
In 0.193 0.625 0.068
In 0.375 0.443 0.568
In 0.557 0.125 0.932
In 0.875 0.807 0.432
O 0.250 0.750 0.500
O 0.500 0.500 0.000

Final energy   -4.4732 eV/atom
SG   I-42d (122)